Entry from the Alexandria database: crystalline Cu2MoPb at its relaxed geometry (GGA-PBEsol).

a b c (Å): 3.024 4.505 5.270
angles (deg): 115.31 106.67 90.00
Fractional positions:
Mo1 0.514 0.514 0.029
Pb1 0.735 0.235 0.470
Cu1 0.269 0.769 0.538
Cu2 0.981 0.981 0.963

Properties
- ΔE_f: 554 meV per atom
- Space-group type: No. 44


Entry from the Alexandria database: crystalline Sc2HRu at its relaxed geometry (GGA-PBEsol).

a b c (Å): 4.383 4.383 4.383
angles (deg): 60.00 60.00 60.00
Fractional positions:
Sc1 0.750 0.750 0.750
Sc2 0.250 0.250 0.250
H1 0.000 0.000 0.000
Ru1 0.500 0.500 0.500

Properties
- Total DFT energy (no corrections): -26.97 eV per cell
- Space-group type: No. 225


Entry from the Alexandria database: crystalline Ag2Hg2P at its relaxed geometry (GGA-PBEsol).

a b c (Å): 3.744 3.744 7.607
angles (deg): 104.25 104.25 90.00
Fractional positions:
Ag1 0.250 0.750 0.500
Ag2 0.750 0.250 0.500
P1 0.000 0.000 0.000
Hg1 0.402 0.402 0.805
Hg2 0.598 0.598 0.195

Properties
- ΔE_f: 357 meV per atom
- Space-group type: No. 139


Entry from the Alexandria database: crystalline CrFeSi2I at its relaxed geometry (GGA-PBEsol).

a b c (Å): 4.221 4.221 5.680
angles (deg): 90.00 90.00 90.00
Last column: magnetic moment on the atom in μB.
Fractional positions:
Si1 0.500 0.000 0.000  -0.01
Si2 0.000 0.500 0.000  -0.01
Fe1 0.000 0.000 0.000  0.34
Cr1 0.500 0.500 0.500  4.12
I1 0.000 0.000 0.500  -0.02

Properties
- Total DFT energy (no corrections): -29.32 eV per cell
- Space-group type: No. 123


| no. | M_tot (μB/cell) | Fermi-level density of states (states/eV/cell) |
| --- | --- | --- |
| 1 | 0.00 | 2.2 |
| 2 | 0.00 | 2.9 |
| 3 | 0.00 | 2.3 |
| 4 | 5.06 | 1.9 |